(1)
Nd6CuRu2I3 | PBE | optimized geometry

abc: 7.238 7.238 8.535
angles: 98.13 98.13 119.98
Sites, in units of the cell vectors:
Nd 0.090 0.438 0.813
Nd 0.214 0.214 0.186
Nd 0.438 0.090 0.813
Nd 0.562 0.910 0.187
Nd 0.786 0.786 0.814
Nd 0.910 0.562 0.187
Cu 0.500 0.500 0.000
Ru 0.167 0.833 0.000
Ru 0.833 0.167 0.000
I 0.000 0.000 0.500
I 0.334 0.666 0.500
I 0.666 0.334 0.500

Computed properties:
Final energy = -5.31 eV per atom
Spin magnetization = 0.00 μB per cell
Space group = C2/m, No. 12
Raw formation energy = -0.6539 eV/atom

=====

(2)
Nd8CuS3I4 | PBE | optimized geometry

abc: 9.127 9.127 9.127
angles: 54.40 54.40 54.40
Sites, in units of the cell vectors:
Nd 0.228 0.228 0.228
Nd 0.228 0.731 0.731
Nd 0.269 0.269 0.772
Nd 0.269 0.772 0.269
Nd 0.731 0.228 0.731
Nd 0.731 0.731 0.228
Nd 0.772 0.269 0.269
Nd 0.772 0.772 0.772
Cu 0.500 0.500 0.500
S 0.000 0.000 0.500
S 0.000 0.500 0.000
S 0.500 0.000 0.000
I 0.000 0.000 0.000
I 0.000 0.500 0.500
I 0.500 0.000 0.500
I 0.500 0.500 0.000

Computed properties:
Final energy = -5.04 eV per atom
Spin magnetization = 0.00 μB per cell
Space group = R-3m, No. 166
Raw formation energy = -1.2377 eV/atom